Record 1
The following is a DFT calculation (PBE) of a geometry-optimized CaNp2O7 structure.

a b c (Å): 10.342 10.342 10.342
angles (deg): 21.35 21.35 21.35
Atoms (fractional coordinates):
Ca1 0.000 0.000 0.000
Np1 0.432 0.432 0.432
Np2 0.568 0.568 0.568
O1 0.081 0.081 0.081
O2 0.220 0.220 0.220
O3 0.366 0.366 0.366
O4 0.500 0.500 0.500
O5 0.634 0.634 0.634
O6 0.780 0.780 0.780
O7 0.919 0.919 0.919

- uncorrected energy (eV per atom) = -9.0383
- total moment (μB per atom) = 0.200
- space-group type = R-3m

Record 2
The following is a DFT calculation (PBE) of a geometry-optimized Ca6NpO8 structure.

a b c (Å): 6.886 6.886 6.886
angles (deg): 60.00 60.00 60.00
Atoms (fractional coordinates):
Ca1 0.000 0.000 0.500
Ca2 0.000 0.500 0.000
Ca3 0.000 0.500 0.500
Ca4 0.500 0.000 0.000
Ca5 0.500 0.000 0.500
Ca6 0.500 0.500 0.000
Np1 0.000 0.000 0.000
O1 0.228 0.228 0.772
O2 0.228 0.772 0.228
O3 0.228 0.772 0.772
O4 0.250 0.250 0.250
O5 0.750 0.750 0.750
O6 0.772 0.228 0.228
O7 0.772 0.228 0.772
O8 0.772 0.772 0.228

- uncorrected energy (eV per atom) = -7.2410
- total moment (μB per atom) = 0.200
- space-group type = Fm-3m

Record 3
The following is a DFT calculation (PBE) of a geometry-optimized Ca2NpO6 structure.

a b c (Å): 5.853 5.645 10.902
angles (deg): 90.00 122.41 90.00
Atoms (fractional coordinates):
Ca1 0.203 0.001 0.204
Ca2 0.203 0.499 0.704
Ca3 0.797 0.501 0.296
Ca4 0.797 0.999 0.796
Np1 0.500 0.000 0.000
Np2 0.500 0.500 0.500
O1 0.199 0.697 0.346
O2 0.199 0.803 0.846
O3 0.206 0.172 0.000
O4 0.206 0.328 0.500
O5 0.493 0.196 0.845
O6 0.493 0.304 0.345
O7 0.507 0.696 0.655
O8 0.507 0.804 0.155
O9 0.794 0.672 0.500
O10 0.794 0.828 0.000
O11 0.801 0.197 0.154
O12 0.801 0.303 0.654

- uncorrected energy (eV per atom) = -7.7967
- total moment (μB per atom) = 0.083
- space-group type = P2_1/c

Record 4
The following is a DFT calculation (PBE) of a geometry-optimized CaNp2O6 structure.

a b c (Å): 5.843 5.843 4.756
angles (deg): 90.00 90.00 120.00
Atoms (fractional coordinates):
Ca1 0.000 0.000 0.000
Np1 0.333 0.667 0.500
Np2 0.667 0.333 0.500
O1 0.000 0.358 0.279
O2 0.000 0.642 0.721
O3 0.358 0.000 0.279
O4 0.358 0.358 0.721
O5 0.642 0.000 0.721
O6 0.642 0.642 0.279

- uncorrected energy (eV per atom) = -9.3419
- total moment (μB per atom) = 0.444
- space-group type = P-31m